DFT (PBE) results for a relaxed Ba3AcPd crystal.

a b c (Å): 6.336 6.336 6.336
angles (deg): 90.00 90.00 90.00
Fractional positions:
Ac  0.500  0.500  0.500
Ba  0.000  0.500  0.000
Ba  0.000  0.000  0.500
Ba  0.500  0.000  0.000
Pd  0.000  0.000  0.000

Summary:
* space group: Pm-3m (221)
* crystal system: cubic
* DFT formation energy: -0.0752 eV per atom